Computed, not measured: a relaxed Sm3HoFe8 crystal at the PBE level of DFT.

Cell and atoms, written as CIF:
```
data_Sm3HoFe8
_space_group_name_H-M_alt 'P 1'
_space_group_IT_number 1
_cell_length_a 5.192
_cell_length_b 5.192
_cell_length_c 8.995
_cell_angle_alpha 73.23
_cell_angle_beta 73.23
_cell_angle_gamma 60.00
loop_
_space_group_symop_operation_xyz
'x,y,z'
loop_
_atom_site_label
_atom_site_fract_x
_atom_site_fract_y
_atom_site_fract_z
_atom_site_occupancy
Fe1 0.935 0.437 0.190 1
Fe2 0.937 0.440 0.685 1
Fe3 0.188 0.188 0.436 1
Fe4 0.437 0.935 0.190 1
Fe5 0.437 0.437 0.190 1
Fe6 0.440 0.937 0.685 1
Fe7 0.937 0.937 0.685 1
Fe8 0.687 0.687 0.938 1
Sm1 0.375 0.375 0.875 1
Sm2 0.000 0.000 0.001 1
Sm3 0.500 0.500 0.499 1
Ho1 0.875 0.875 0.375 1
```

Calculated values
The space group is No. 160.


Computed, not measured: a relaxed MnV6Co12 crystal at the PBE level of DFT.

Cell and atoms, written as CIF:
```
data_MnV6Co12
_space_group_name_H-M_alt 'P 1'
_space_group_IT_number 1
_cell_length_a 6.039
_cell_length_b 6.039
_cell_length_c 6.039
_cell_angle_alpha 92.08
_cell_angle_beta 92.08
_cell_angle_gamma 92.08
loop_
_space_group_symop_operation_xyz
'x,y,z'
loop_
_atom_site_label
_atom_site_fract_x
_atom_site_fract_y
_atom_site_fract_z
_atom_site_occupancy
Co1 0.140 0.370 0.048 1
Co2 0.207 0.470 0.533 1
Co3 0.630 0.952 0.860 1
Co4 0.370 0.048 0.140 1
Co5 0.533 0.207 0.470 1
Co6 0.860 0.630 0.952 1
Co7 0.793 0.530 0.467 1
Co8 0.467 0.793 0.530 1
Co9 0.530 0.467 0.793 1
Co10 0.470 0.533 0.207 1
Co11 0.048 0.140 0.370 1
Co12 0.952 0.860 0.630 1
V1 0.132 0.751 0.295 1
V2 0.295 0.132 0.751 1
V3 0.751 0.295 0.132 1
V4 0.868 0.249 0.705 1
V5 0.249 0.705 0.868 1
V6 0.705 0.868 0.249 1
Mn1 0.000 0.000 0.000 1
```

Calculated values
The space group is No. 148.


Formation enthalpy at 0 K / eV per atom: -0.008 0.039